DFT (PBE) results for a geometry-optimized TaSbOsI2 structure.

Cell: 5.3878 5.3878 5.5522 Å, 90.00 90.00 90.00°
Closest atoms and distances in Å follow each position.
Element x y z (fractional)
Ta (0.0000, 0.0000, 0.0000)  4 I 2.69, 2 Sb 2.78
Sb (0.0000, 0.0000, 0.5000)  2 Ta 2.78
Os (0.5000, 0.5000, 0.5000)  4 Sb 3.81, 8 I 3.87
I (0.0000, 0.5000, 0.0000)  2 Ta 2.69
I (0.5000, 0.0000, 0.0000)  2 Ta 2.69

Properties
Energy relative to the lowest polymorph listed for this composition = 84 meV/atom
Raw formation energy = 1.638 eV per atom